A plane-wave DFT calculation with PBE was carried out for a relaxed PrSiPt2 crystal.

abc: 4.2015 4.2015 15.8876
angles: 90.00 90.00 120.00
Space group R-3m (No. 166, hexagonal axes)
Asymmetric unit:
Pr1 0.0000 0.0000 0.0000 [3 per cell]
Si1 0.0000 0.0000 0.5000 [3 per cell]
Pt1 0.0000 0.0000 0.2094 [6 per cell]

Uncorrected formation energy = -3.92 eV per formula unit
Crystal system = trigonal
Magnetic moment = 0.00 μB per cell

A plane-wave DFT calculation with PBE was carried out for a relaxed BaSr8P6 crystal.

abc: 8.6527 8.6527 22.8278
angles: 90.00 90.00 120.00
Space group R-3 (No. 148, hexagonal axes)
Asymmetric unit:
Ba1 0.0000 0.0000 0.0000 [3 per cell]
Sr1 0.0000 0.0000 0.3329 [6 per cell]
Sr2 0.0007 0.6656 0.7809 [18 per cell]
P1 0.0008 0.6629 0.9218 [18 per cell]

Crystal system = trigonal
Magnetic moment = 0.00 μB per cell
ΔH_f (0 K) = -15.516 eV per formula unit

A plane-wave DFT calculation with PBE was carried out for a relaxed KHgBi crystal.

abc: 8.697 5.019 11.302
angles: 90.00 105.43 90.00
Space group Cm (No. 8)
Asymmetric unit:
K1 0.000 0.000 0.000 [2 per cell]
K2 0.166 0.000 0.482 [2 per cell]
Hg1 0.402 0.500 0.681 [2 per cell]
Hg2 0.408 0.000 0.218 [2 per cell]
Bi1 0.086 0.500 0.733 [2 per cell]
Bi2 0.252 0.500 0.249 [2 per cell]

Crystal system = monoclinic
Magnetic moment = 0.00 μB per cell
ΔH_f (0 K) = -0.836 eV per formula unit

A plane-wave DFT calculation with PBE was carried out for a relaxed KCa2Co crystal.

abc: 8.032 8.032 11.309
angles: 90.00 90.00 90.00
Space group I4_1/amd (No. 141, origin choice 2)
Asymmetric unit:
K1 0.000 0.250 0.375 [4 per cell]
Ca1 0.000 0.000 0.000 [8 per cell]
Co1 0.000 0.250 0.875 [4 per cell]

Crystal system = tetragonal
Magnetic moment = 0.00 μB per cell
ΔH_f (0 K) = 2.272 eV per formula unit

A plane-wave DFT calculation with PBE was carried out for a relaxed HoAg2Pb crystal.

abc: 3.811 3.811 6.542
angles: 90.00 90.00 90.00
Space group P4/mmm (No. 123)
Asymmetric unit:
Ho1 0.000 0.000 0.000 [1 per cell]
Ag1 0.500 0.500 0.231 [2 per cell]
Pb1 0.000 0.000 0.500 [1 per cell]

Crystal system = tetragonal
Magnetic moment = 0.00 μB per cell
ΔH_f (0 K) = -0.848 eV per formula unit

A plane-wave DFT calculation with PBE was carried out for a relaxed LaTa5 crystal.

abc: 3.363 14.838 4.819
angles: 90.00 90.00 90.00
Space group Cmmm (No. 65)
Asymmetric unit:
La1 0.000 0.000 0.000 [2 per cell]
Ta1 0.000 0.172 0.500 [4 per cell]
Ta2 0.000 0.321 0.000 [4 per cell]
Ta3 0.000 0.500 0.500 [2 per cell]

Crystal system = orthorhombic
Magnetic moment = 0.00 μB per cell
ΔH_f (0 K) = 2.263 eV per formula unit

A plane-wave DFT calculation with PBE was carried out for a relaxed BiPdPt crystal.

abc: 4.6003 4.6003 3.1882
angles: 90.00 90.00 120.00
Space group P3m1 (No. 156)
Asymmetric unit:
Bi1 0.0000 0.0000 0.0000 [1 per cell]
Pd1 0.3333 0.6667 0.3179 [1 per cell]
Pt1 0.6667 0.3333 0.7328 [1 per cell]

Crystal system = trigonal
Magnetic moment = 0.00 μB per cell
ΔH_f (0 K) = -0.204 eV per formula unit

A plane-wave DFT calculation with PBE was carried out for a relaxed K2InRu crystal.

abc: 7.979 4.595 8.767
angles: 90.00 107.19 90.00
Space group Cm (No. 8)
Asymmetric unit:
K1 0.000 0.000 0.000 [2 per cell]
K2 0.179 0.000 0.551 [2 per cell]
In1 0.256 0.500 0.275 [2 per cell]
Ru1 0.423 0.000 0.275 [2 per cell]

Crystal system = monoclinic
Magnetic moment = 0.46 μB per cell
ΔH_f (0 K) = 1.789 eV per formula unit

A plane-wave DFT calculation with PBE was carried out for a relaxed GaSiIO2 crystal.

abc: 3.794 3.794 5.581
angles: 90.00 90.00 90.00
Space group P4/mmm (No. 123)
Asymmetric unit:
Ga1 0.000 0.000 0.000 [1 per cell]
Si1 0.500 0.500 0.500 [1 per cell]
I1 0.500 0.500 0.000 [1 per cell]
O1 0.000 0.500 0.500 [2 per cell]

Uncorrected formation energy = -2.73 eV per formula unit
Crystal system = tetragonal
Magnetic moment = 0.00 μB per cell

A plane-wave DFT calculation with PBE was carried out for a relaxed GePPtO2 crystal.

abc: 3.488 3.488 7.254
angles: 90.00 90.00 90.00
Space group P4/mmm (No. 123)
Asymmetric unit:
Ge1 0.000 0.000 0.000 [1 per cell]
P1 0.000 0.000 0.500 [1 per cell]
Pt1 0.500 0.500 0.500 [1 per cell]
O1 0.000 0.500 0.000 [2 per cell]

Uncorrected formation energy = -1.35 eV per formula unit
Crystal system = tetragonal
Magnetic moment = 0.00 μB per cell

A plane-wave DFT calculation with PBE was carried out for a relaxed Tb3Si8Rh3 crystal.

abc: 4.187 9.504 11.611
angles: 90.00 90.00 90.00
Space group Immm (No. 71)
Asymmetric unit:
Tb1 0.000 0.000 0.000 [2 per cell]
Tb2 0.000 0.000 0.312 [4 per cell]
Si1 0.000 0.288 0.127 [8 per cell]
Si2 0.000 0.370 0.333 [8 per cell]
Rh1 0.000 0.225 0.500 [4 per cell]
Rh2 0.000 0.500 0.000 [2 per cell]

Uncorrected formation energy = -9.27 eV per formula unit
Crystal system = orthorhombic
Magnetic moment = 0.00 μB per cell

A plane-wave DFT calculation with PBE was carried out for a relaxed PmSm2Ho6Tm3 crystal.

abc: 6.140 10.624 11.728
angles: 90.00 100.02 90.00
Space group C2/m (No. 12)
Asymmetric unit:
Pm1 0.000 0.000 0.000 [2 per cell]
Sm1 0.000 0.333 0.000 [4 per cell]
Ho1 0.248 0.000 0.746 [4 per cell]
Ho2 0.248 0.333 0.746 [8 per cell]
Tm1 0.000 0.167 0.500 [4 per cell]
Tm2 0.000 0.500 0.500 [2 per cell]

Crystal system = monoclinic
Magnetic moment = 0.00 μB per cell
ΔH_f (0 K) = 0.253 eV per formula unit

A plane-wave DFT calculation with PBE was carried out for a relaxed NaN3Cl crystal.

abc: 4.626 4.626 4.626
angles: 90.00 90.00 90.00
Space group Pm-3m (No. 221)
Asymmetric unit:
Na1 0.000 0.000 0.000 [1 per cell]
N1 0.000 0.000 0.500 [3 per cell]
Cl1 0.500 0.500 0.500 [1 per cell]

Uncorrected formation energy = 13.65 eV per formula unit
Crystal system = cubic
Magnetic moment = 8.71 μB per cell

A plane-wave DFT calculation with PBE was carried out for a relaxed CaHI2 crystal.

abc: 7.487 4.567 8.289
angles: 90.00 108.85 90.00
Space group Cm (No. 8)
Asymmetric unit:
Ca1 0.000 0.000 0.000 [2 per cell]
H1 0.249 0.000 0.234 [2 per cell]
I1 0.072 0.500 0.757 [2 per cell]
I2 0.252 0.500 0.254 [2 per cell]

Crystal system = monoclinic
Magnetic moment = 0.00 μB per cell
Electronic total energy = -2.85 eV per atom

A plane-wave DFT calculation with PBE was carried out for a relaxed SrAcPtO4 crystal.

abc: 6.491 7.574 10.972
angles: 90.00 90.00 90.00
Space group Imma (No. 74)
Asymmetric unit:
Sr1 0.000 0.250 0.204 [4 per cell]
Ac1 0.000 0.000 0.500 [4 per cell]
Pt1 0.250 0.250 0.750 [4 per cell]
O1 0.000 0.088 0.735 [8 per cell]
O2 0.204 0.250 0.417 [8 per cell]

Uncorrected formation energy = -14.05 eV per formula unit
Crystal system = orthorhombic
Magnetic moment = 2.78 μB per cell

A plane-wave DFT calculation with PBE was carried out for a relaxed PaNbP2N crystal.

abc: 3.686 3.686 12.563
angles: 90.00 90.00 90.00
Space group P4/nmm (No. 129, origin choice 2)
Asymmetric unit:
Pa1 0.250 0.250 0.103 [2 per cell]
Nb1 0.250 0.250 0.586 [2 per cell]
P1 0.250 0.250 0.382 [2 per cell]
P2 0.250 0.250 0.788 [2 per cell]
N1 0.250 0.750 0.000 [2 per cell]

Uncorrected formation energy = -5.23 eV per formula unit
Crystal system = tetragonal
Magnetic moment = 0.00 μB per cell

A plane-wave DFT calculation with PBE was carried out for a relaxed CaAg2Rh crystal.

abc: 4.287 4.287 8.253
angles: 90.00 90.00 90.00
Space group I-4m2 (No. 119)
Asymmetric unit:
Ca1 0.000 0.000 0.000 [2 per cell]
Ag1 0.000 0.000 0.500 [2 per cell]
Ag2 0.000 0.500 0.250 [2 per cell]
Rh1 0.000 0.500 0.750 [2 per cell]

Crystal system = tetragonal
Magnetic moment = 0.00 μB per cell
ΔH_f (0 K) = -0.468 eV per formula unit

A plane-wave DFT calculation with PBE was carried out for a relaxed InRe2Mo crystal.

abc: 9.690 3.052 4.682
angles: 90.00 107.30 90.00
Space group Cm (No. 8)
Asymmetric unit:
In1 0.000 0.000 0.000 [2 per cell]
Re1 0.261 0.500 0.281 [2 per cell]
Re2 0.494 0.000 0.495 [2 per cell]
Mo1 0.235 0.000 0.728 [2 per cell]

Crystal system = monoclinic
Magnetic moment = 0.00 μB per cell
ΔH_f (0 K) = 1.575 eV per formula unit

A plane-wave DFT calculation with PBE was carried out for a relaxed Li4In3Ag2 crystal.

abc: 4.808 5.327 7.469
angles: 76.81 86.01 63.40
Space group P-1 (No. 2)
Asymmetric unit:
Li1 0.136 0.260 0.154 [2 per cell]
Li2 0.323 0.857 0.496 [2 per cell]
In1 0.000 0.500 0.500 [1 per cell]
In2 0.463 0.608 0.177 [2 per cell]
Ag1 0.216 0.034 0.828 [2 per cell]

Crystal system = triclinic
Magnetic moment = 0.00 μB per cell
ΔH_f (0 K) = -2.124 eV per formula unit

A plane-wave DFT calculation with PBE was carried out for a relaxed Er2TmIr3 crystal.

abc: 4.661 5.565 9.786
angles: 90.00 90.00 90.00
Space group Immm (No. 71)
Asymmetric unit:
Er1 0.000 0.000 0.167 [4 per cell]
Tm1 0.000 0.000 0.500 [2 per cell]
Ir1 0.000 0.500 0.164 [4 per cell]
Ir2 0.000 0.500 0.500 [2 per cell]

Crystal system = orthorhombic
Magnetic moment = 0.00 μB per cell
ΔH_f (0 K) = -2.978 eV per formula unit